[1]
First-principles (GGA-PBE) data for MgNiSb after structural relaxation, as listed in Alexandria via LeMat-Bulk.

V, Å³ per cell: 54.2
Total energy, eV per atom: -3.89
Density, g cm⁻³: 6.27
Space group: No. 44
Formation energy (no corrections), kJ/mol of atoms: -6
Total moment, μB per atom: 0.000

a b c (Å): 4.829 4.829 4.829
angles (deg): 138.13 132.96 64.78
Fractional coordinates of all 3 atoms:
Ni 0.333 0.333 0.000
Mg 0.998 0.998 0.000
Sb 0.668 0.668 0.000

[2]
First-principles (GGA-PBE) data for NbCrAs after structural relaxation, as listed in Alexandria via LeMat-Bulk.

V, Å³ per cell: 96.2
Total energy, eV per atom: -8.24
Density, g cm⁻³: 7.59
Space group: No. 11
Total moment, μB per atom: 0.000
Calculated formation energy, kJ/mol of atoms: -12

a b c (Å): 3.248 5.054 6.054
angles (deg): 75.42 89.98 89.98
Fractional coordinates of all 6 atoms:
Cr 0.750 0.114 0.578
Nb 0.750 0.200 0.061
As 0.750 0.578 0.683
Nb 0.250 0.800 0.939
As 0.250 0.422 0.317
Cr 0.250 0.886 0.422

[3]
First-principles (GGA-PBE) data for HfCrTe2N after structural relaxation, as listed in Alexandria via LeMat-Bulk.

V, Å³ per cell: 101.9
Total energy, eV per atom: -6.76
Density, g cm⁻³: 8.14
Relative energy among the computed polymorphs, kcal/mol of atoms: 0.000
Space group: No. 123
Formation energy (no corrections), kJ/mol of atoms: 8
Total moment, μB per atom: 0.308

a b c (Å): 5.349 5.349 3.562
angles (deg): 90.00 90.00 90.00
Last column: magnetic moment on the atom in μB.
Fractional coordinates of all 5 atoms:
Cr 0.000 0.000 0.000  1.89
Hf 0.500 0.500 0.500  0.00
Te 0.000 0.500 0.000  -0.05
N 0.000 0.000 0.500  -0.27
Te 0.500 0.000 0.000  -0.05

[4]
First-principles (GGA-PBE) data for LaPrNd2H after structural relaxation, as listed in Alexandria via LeMat-Bulk.

V, Å³ per cell: 141.9
Total energy, eV per atom: -4.70
Density, g cm⁻³: 6.66
Space group: No. 123
Total moment, μB per atom: 0.000

a b c (Å): 5.224 5.211 5.211
angles (deg): 90.00 90.00 90.00
Fractional coordinates of all 5 atoms:
H 0.000 0.000 0.000
Pr 0.500 0.000 0.000
Nd 0.000 0.000 0.500
Nd 0.000 0.500 0.000
La 0.500 0.500 0.500